Here is a relaxed structure of Tb9PmDy2 from Alexandria. Energies are from GGA-PBE.

a b c (Å): 11.2715 11.2715 3.5111
angles (deg): 90.00 90.00 120.00
Space group P6/mmm (No. 191)
One atom of each set of equivalent atoms:
1 Tb 0.0000 0.5000 0.0000 (multiplicity 3)
2 Tb 0.1770 0.3541 0.5000 (multiplicity 6)
3 Pm 0.0000 0.0000 0.0000 (multiplicity 1)
4 Dy 0.3333 0.6667 0.0000 (multiplicity 2)

Energy relative to the lowest polymorph listed for this composition, meV/atom: 21.4
Energy of formation, eV per atom: 0.0405